1.
ZnC | Alexandria | PBE | relaxed; volume = 135.80 Å³/cell; D(E_F) = 0.23 states/eV/atom; space-group type = Pnma, No. 62; relative energy among the computed polymorphs = 592 meV per atom
1.0
-0.2991 -1.8715 1.7322
2.4009 -3.0200 -2.8484
9.4607 2.9621 4.8337
Zn C
4 4
Direct
0.2500 0.4190 0.2141
0.7500 0.0810 0.7141
0.7500 0.5810 0.7859
0.2500 0.9190 0.2859
0.2500 0.4941 0.0187
0.7500 0.0059 0.5187
0.7500 0.5059 0.9813
0.2500 0.9941 0.4813

2.
ZnC2 | Alexandria | PBE | relaxed; volume = 67.62 Å³/cell; D(E_F) = 0.20 states/eV/atom; space-group type = C2/m, No. 12; relative energy among the computed polymorphs = 844 meV per atom
1.0
1.3454 3.2050 -0.2437
-1.3454 3.2050 -0.2437
0.0000 0.0163 7.8393
Zn C
2 4
Direct
0.7723 0.7723 0.3008
0.2277 0.2277 0.6992
0.5077 0.5077 0.5840
0.7521 0.7521 0.0231
0.4923 0.4923 0.4160
0.2479 0.2479 0.9769

3.
ZnC8 | Alexandria | PBE | relaxed; volume = 73.12 Å³/cell; D(E_F) = 0.24 states/eV/atom; space-group type = I4/mmm, No. 139; VASP energy = -51.59 eV per formula unit
1.0
-1.9746 -4.0691 -2.2569
1.5427 1.8203 4.4561
-4.2012 2.7992 -0.2545
Zn C
1 8
Direct
0.0000 0.0000 0.0000
0.7819 0.2181 0.0000
0.2181 0.7819 0.0000
0.0000 0.6044 0.6044
0.2181 0.2181 0.4361
0.6044 0.0000 0.6044
0.7819 0.7819 0.5639
0.0000 0.3956 0.3956
0.3956 0.0000 0.3956

4.
Zn2C | Alexandria | PBE | relaxed; volume = 145.51 Å³/cell; D(E_F) = 0.05 states/eV/atom; space-group type = Pa-3, No. 205; relative energy among the computed polymorphs = 105 meV per atom
1.0
5.2597 0.0000 0.0000
0.0000 5.2597 0.0000
0.0000 0.0000 5.2597
Zn C
8 4
Direct
0.6902 0.6902 0.3098
0.3098 0.3098 0.6902
0.1902 0.8098 0.6902
0.8098 0.1902 0.3098
0.3098 0.1902 0.1902
0.6902 0.8098 0.8098
0.8098 0.3098 0.8098
0.1902 0.6902 0.1902
0.0000 0.0000 0.0000
0.5000 0.5000 0.0000
0.5000 0.0000 0.5000
0.0000 0.5000 0.5000

5.
Zn5C4 | Alexandria | PBE | relaxed; volume = 210.90 Å³/cell; D(E_F) = 0.58 states/eV/atom; space-group type = P6_3/mcm, No. 193; relative energy among the computed polymorphs = 0 meV per atom
1.0
-4.1779 -5.4759 0.5784
3.7861 2.0449 5.4091
-3.7949 3.0540 1.5017
Zn C
10 8
Direct
0.0000 0.7637 0.2500
0.2363 0.2363 0.2500
0.7637 0.0000 0.2500
0.0000 0.2363 0.7500
0.7637 0.7637 0.7500
0.2363 0.0000 0.7500
0.6667 0.3333 0.0000
0.3333 0.6667 0.5000
0.3333 0.6667 0.0000
0.6667 0.3333 0.5000
0.0000 0.0000 0.0000
0.0000 0.0000 0.5000
0.0000 0.4746 0.2500
0.5254 0.5254 0.2500
0.4746 0.0000 0.2500
0.0000 0.5254 0.7500
0.4746 0.4746 0.7500
0.5254 0.0000 0.7500

6.
ZnC2 | Alexandria | PBE | relaxed; volume = 46.32 Å³/cell; D(E_F) = 0.54 states/eV/atom; space-group type = C2/m, No. 12; relative energy among the computed polymorphs = 1 meV per atom
1.0
-0.7456 0.2158 -2.3578
-0.7706 -1.9178 1.3749
-6.8509 4.6586 2.5928
Zn C
1 2
Direct
0.0000 0.0000 0.0000
0.6668 0.3333 0.5000
0.3335 0.6667 0.5000